This record from Alexandria describes Ac2PmCu3 after structural relaxation. The functional is PBE.

Geometry as extended XYZ:
```
6
Lattice="3.7205 0.0000 0.0000 0.0000 3.7205 0.0000 0.0000 0.0000 11.1614" Properties=species:S:1:pos:R:3 pbc="T T T"
Ac 0.0000 0.0000 1.9222
Ac 0.0000 0.0000 9.2392
Pm 0.0000 0.0000 5.5807
Cu 1.8603 1.8603 0.0000
Cu 1.8603 1.8603 3.9919
Cu 1.8603 1.8603 7.1695
```

Results
Final energy: -25.90 eV for the cell shown
Space-group type: P4/mmm
DFT formation energy: -108 meV per atom
Theoretical density: 8487 kg/m³
Density of states at the Fermi level: 0.69 states/eV/atom

***

This record from Alexandria describes MnCuSiP after structural relaxation. The functional is PBE.

Geometry as extended XYZ:
```
4
Lattice="3.7439 -1.4240 0.0000 3.7439 1.4240 0.0000 -2.7508 0.0000 4.7501" Properties=species:S:1:pos:R:3 pbc="T T T"
Mn 0.0000 0.0000 0.0000
Cu 0.5484 0.0000 2.5104
Si 2.6039 0.0000 3.6915
P 2.2613 0.0000 0.9396
```

Results
Final energy: -24.56 eV for the cell shown
Space-group type: Cm
ΔE_f (raw): -115 meV per atom
Theoretical density: 5821 kg/m³
Density of states at the Fermi level: 0.50 states/eV/atom

***

This record from Alexandria describes YCr4Mo after structural relaxation. The functional is PBE.

Geometry as extended XYZ:
```
6
Lattice="0.0000 3.5407 3.5407 3.5407 0.0000 3.5407 3.5407 3.5407 0.0000" Properties=species:S:1:pos:R:3 pbc="T T T"
Y 0.0000 0.0000 0.0000
Cr 4.4208 2.6607 2.6607
Cr 2.6607 4.4208 2.6607
Cr 2.6607 2.6607 4.4208
Cr 4.4208 4.4208 4.4208
Mo 1.7704 1.7704 1.7704
```

Results
Final energy: -54.32 eV for the cell shown
Space-group type: F-43m
DFT formation energy: 245 meV per atom
Theoretical density: 7348 kg/m³
Density of states at the Fermi level: 0.68 states/eV/atom

***

- Among the records above, which one has the highest theoretical density?
  Ac2PmCu3

***

- What is the formula in the second record?
  MnCuSiP